# 1
# ZrNiNO2 GGA+U optimized geometry
# space-group type	P4/mmm
data_ZrNiNO2
_space_group_name_H-M_alt 'P 1'
_space_group_IT_number 1
_space_group_name_Hall 'P 1'
_cell_length_a 4.102
_cell_length_b 4.102
_cell_length_c 4.348
_cell_angle_alpha 90.00
_cell_angle_beta 90.00
_cell_angle_gamma 90.00
loop_
_atom_site_label
_atom_site_fract_x
_atom_site_fract_y
_atom_site_fract_z
Ni1 0.500 0.500 0.500
O1 0.000 0.500 0.000
O2 0.500 0.000 0.000
Zr1 0.000 0.000 0.000
N1 0.000 0.000 0.500

=====

# 2
# Mg2Mn3O8 GGA+U optimized geometry
# E above lowest polymorph	1.4	meV/atom
# space-group type	Pmn2_1
data_Mg2Mn3O8
_space_group_name_H-M_alt 'P 1'
_space_group_IT_number 1
_space_group_name_Hall 'P 1'
_cell_length_a 4.984
_cell_length_b 5.864
_cell_length_c 9.474
_cell_angle_alpha 90.00
_cell_angle_beta 90.00
_cell_angle_gamma 90.00
loop_
_atom_site_label
_atom_site_fract_x
_atom_site_fract_y
_atom_site_fract_z
Mg1 0.820 0.500 0.781
Mg2 0.827 0.500 0.181
Mg3 0.173 0.000 0.681
Mg4 0.180 0.000 0.281
Mn1 0.180 0.500 0.503
Mn2 0.327 0.741 0.000
Mn3 0.673 0.759 0.500
Mn4 0.820 0.000 0.003
Mn5 0.673 0.241 0.500
Mn6 0.327 0.259 0.000
O1 0.182 0.500 0.892
O2 0.847 0.500 0.393
O3 0.513 0.500 0.608
O4 0.452 0.500 0.114
O5 0.988 0.720 0.620
O6 0.349 0.738 0.397
O7 0.651 0.762 0.897
O8 0.012 0.780 0.120
O9 0.153 0.000 0.893
O10 0.487 0.000 0.108
O11 0.818 0.000 0.392
O12 0.548 0.000 0.614
O13 0.012 0.220 0.120
O14 0.651 0.238 0.897
O15 0.349 0.262 0.397
O16 0.988 0.280 0.620

=====

Total DFT energy (no corrections) / eV per formula unit: -32.64, -88.81
Volume / Å³ per atom: 14.637, 10.649